## SrCr2AsO8 (PBE+U)

Data for a relaxed structure of SrCr2AsO8.

* final energy: -6.64 eV/atom
* symmetry: No. 2
* size of the total moment: 3.0 μB per cell

Structure (POSCAR):
```
SrCr2AsO8
1.0
-3.8429 0.8724 -2.9986
-2.0094 -4.2408 -1.6527
-4.7330 -0.2376 5.5270
O Sr As Cr
8 1 1 2
direct
0.2318 0.2164 0.9754 O
0.7644 0.2251 0.8148 O
0.7897 0.2397 0.1890 O
0.3138 0.2979 0.5743 O
0.2356 0.7749 0.1852 O
0.2103 0.7603 0.8110 O
0.7682 0.7836 0.0246 O
0.6862 0.7021 0.4257 O
0.0000 0.0000 0.5000 Sr
0.0000 0.0000 0.0000 As
0.3725 0.3719 0.7889 Cr
0.6275 0.6281 0.2111 Cr
```